(1)
This record from Alexandria describes crystalline RbBa2Fe at its relaxed geometry. The functional is PBE.

Unit cell a=6.0666 b=6.0666 c=6.0666 alpha=60.00 beta=60.00 gamma=60.00
Closest atoms and distances in Å follow each position.
Fractional positions:
Rb1 0.0000 0.0000 0.0000  8 Ba 3.72
Ba1 0.2500 0.2500 0.2500  4 Fe 3.72, 4 Rb 3.72
Ba2 0.7500 0.7500 0.7500  4 Fe 3.72, 4 Rb 3.72
Fe1 0.5000 0.5000 0.5000  8 Ba 3.72

Properties
Formation enthalpy at 0 K: 0.995 eV/atom
Offset from the most stable computed form: 0.282 eV per atom
VASP energy: -9.3 eV per cell

=====

(2)
This record from Alexandria describes crystalline RbBa2Fe at its relaxed geometry. The functional is PBE.

Unit cell a=8.7099 b=8.7099 c=8.7099 alpha=120.06 beta=120.06 gamma=89.90
Closest atoms and distances in Å follow each position.
Fractional positions:
Rb1 0.3750 0.6250 0.7500  12 Ba 5.10-5.11, 4 Fe 5.33, 4 Rb 5.33
Rb2 0.6250 0.3750 0.2500  12 Ba 5.10-5.11, 4 Fe 5.33, 4 Rb 5.33
Ba1 0.0000 0.0000 0.0000  2 Fe 2.67
Ba2 0.0000 0.0000 0.5000  2 Fe 2.67
Ba3 0.0000 0.5000 0.0000  2 Fe 2.67
Ba4 0.5000 0.0000 0.5000  2 Fe 2.67
Fe1 0.1250 0.8750 0.2500  4 Ba 2.67
Fe2 0.8750 0.1250 0.7500  4 Ba 2.67

Properties
Formation enthalpy at 0 K: 0.713 eV/atom
Offset from the most stable computed form: 0.000 eV per atom
VASP energy: -20.8 eV per cell

=====

(3)
This record from Alexandria describes crystalline RbBaFe2 at its relaxed geometry. The functional is PBE.

Unit cell a=11.4354 b=11.4354 c=11.4354 alpha=154.34 beta=154.34 gamma=36.60
Closest atoms and distances in Å follow each position.
Fractional positions:
Rb1 0.3750 0.6250 0.7500  4 Ba 3.59, 8 Fe 3.93
Rb2 0.6250 0.3750 0.2500  4 Ba 3.59, 8 Fe 3.93
Ba1 0.1250 0.8750 0.2500  4 Fe 3.00
Ba2 0.8750 0.1250 0.7500  4 Fe 3.00
Fe1 0.0000 0.0000 0.0000  2 Fe 2.54
Fe2 0.0000 0.0000 0.5000  2 Fe 2.54
Fe3 0.0000 0.5000 0.0000  2 Fe 2.54
Fe4 0.5000 0.0000 0.5000  2 Fe 2.54

Properties
Formation enthalpy at 0 K: 1.213 eV/atom
Offset from the most stable computed form: 0.000 eV per atom
VASP energy: -29.9 eV per cell